1.
In3Br2 | Alexandria via LeMat-Bulk | PBE-GGA | optimized geometry; polymorph energy (0 for the lowest one) = 9 meV/atom
1.0
3.1976 1.8461 9.3831
-3.1976 1.8461 9.3831
0.0000 -3.6922 9.3831
In Br
6 4
direct
0.1531 0.7500 0.3469 In
0.2500 0.6531 0.8469 In
0.3469 0.1531 0.7500 In
0.6531 0.8469 0.2500 In
0.7500 0.3469 0.1531 In
0.8469 0.2500 0.6531 In
0.1834 0.1834 0.1834 Br
0.3166 0.3166 0.3166 Br
0.6834 0.6834 0.6834 Br
0.8166 0.8166 0.8166 Br

***

2.
# InBr

A relaxed structure of InBr (PBE-GGA, Alexandria via LeMat-Bulk).

```
InBr
1.0
5.6427 0.0000 0.0000
0.0000 5.6696 0.0000
0.0000 0.0000 4.2021
In Br
2 2
direct
0.2500 0.2500 0.1282 In
0.7500 0.7500 0.8718 In
0.2500 0.7500 0.4979 Br
0.7500 0.2500 0.5021 Br
```

***

3.
In2Br | Alexandria via LeMat-Bulk | PBE-GGA | optimized geometry; polymorph energy (0 for the lowest one) = 16 meV/atom
1.0
5.8429 -1.9149 0.0000
5.8429 1.9149 0.0000
-1.6881 0.0000 8.2194
In Br
4 2
direct
0.1345 0.1345 0.0052 In
0.2859 0.2859 0.6619 In
0.7141 0.7141 0.3381 In
0.8655 0.8655 0.9948 In
0.4401 0.4401 0.2831 Br
0.5599 0.5599 0.7169 Br

***

4.
In3Br | Alexandria via LeMat-Bulk | PBE-GGA | optimized geometry; polymorph energy (0 for the lowest one) = 49 meV/atom
1.0
-2.3093 2.3093 5.6083
2.3093 -2.3093 5.6083
2.3093 2.3093 -5.6083
In Br
3 1
direct
0.0000 0.0000 0.0000 In
0.2500 0.7500 0.5000 In
0.7500 0.2500 0.5000 In
0.5000 0.5000 0.0000 Br

***

5.
# In6Br

A relaxed structure of In6Br (PBE-GGA, Alexandria via LeMat-Bulk).

```
In6Br
1.0
-4.1212 4.1212 4.1212
4.1212 -4.1212 4.1212
4.1212 4.1212 -4.1212
In Br
6 1
direct
0.2500 0.5000 0.7500 In
0.2500 0.7500 0.5000 In
0.5000 0.2500 0.7500 In
0.5000 0.7500 0.2500 In
0.7500 0.2500 0.5000 In
0.7500 0.5000 0.2500 In
0.0000 0.0000 0.0000 Br
```

***

6.
# InBr

A relaxed structure of InBr (PBE-GGA, Alexandria via LeMat-Bulk).

```
InBr
1.0
2.2934 1.3241 8.1616
-2.2934 1.3241 8.1616
0.0000 -2.6482 8.1616
In Br
2 2
direct
0.0000 0.0000 0.0000 In
0.1674 0.1674 0.1674 In
0.4153 0.4153 0.4153 Br
0.5836 0.5836 0.5836 Br
```

***

7.
# InBr3

A relaxed structure of InBr3 (PBE-GGA, Alexandria via LeMat-Bulk).

```
InBr3
1.0
-4.8442 4.8442 2.7946
4.8442 -4.8442 2.7946
4.8442 4.8442 -2.7946
In Br
2 6
direct
0.0000 0.0000 0.0000 In
0.7500 0.2500 0.5000 In
0.2500 0.7500 0.5000 Br
0.3750 0.2454 0.3704 Br
0.5000 0.5000 0.0000 Br
0.7546 0.1250 0.1296 Br
0.8750 0.0046 0.6296 Br
0.9954 0.6250 0.8704 Br
```

***

8.
In3Br4 | Alexandria via LeMat-Bulk | PBE-GGA | optimized geometry; polymorph energy (0 for the lowest one) = 225 meV/atom
1.0
6.9252 0.0000 0.0000
-3.4626 5.9974 0.0000
0.0000 0.0000 5.4180
In Br
3 4
direct
0.0000 0.5000 0.0000 In
0.5000 0.0000 0.0000 In
0.5000 0.5000 0.0000 In
0.0000 0.0000 0.2523 Br
0.0000 0.0000 0.7477 Br
0.3333 0.6667 0.5000 Br
0.6667 0.3333 0.5000 Br

***

9.
# InBr

A relaxed structure of InBr (PBE-GGA, Alexandria via LeMat-Bulk).

```
InBr
1.0
4.7134 0.0000 0.0000
0.0000 4.7134 0.0000
0.0000 0.0000 6.7216
In Br
2 2
direct
0.2500 0.2500 0.2492 In
0.7500 0.7500 0.7508 In
0.2500 0.2500 0.7236 Br
0.7500 0.7500 0.2764 Br
```

***

10.
# InBr

A relaxed structure of InBr (PBE-GGA, Alexandria via LeMat-Bulk).

```
InBr
1.0
5.6403 0.0000 0.0000
-2.8201 4.8846 0.0000
0.0000 0.0000 6.6425
In Br
2 2
direct
0.3333 0.6667 0.0000 In
0.6667 0.3333 0.5000 In
0.3333 0.6667 0.5017 Br
0.6667 0.3333 0.0017 Br
```

***

11.
In2Br | Alexandria via LeMat-Bulk | PBE-GGA | optimized geometry; polymorph energy (0 for the lowest one) = 24 meV/atom
1.0
8.0808 0.0000 0.0000
0.0000 3.7915 0.0000
0.0000 0.0000 11.6011
In Br
8 4
direct
0.1065 0.2500 0.2209 In
0.1266 0.2500 0.5734 In
0.3734 0.7500 0.0734 In
0.3935 0.7500 0.7209 In
0.6065 0.2500 0.2791 In
0.6266 0.2500 0.9266 In
0.8734 0.7500 0.4266 In
0.8935 0.7500 0.7791 In
0.1591 0.2500 0.9038 Br
0.3409 0.7500 0.4038 Br
0.6591 0.2500 0.5962 Br
0.8409 0.7500 0.0962 Br

***

12.
In3Br | Alexandria via LeMat-Bulk | PBE-GGA | optimized geometry; polymorph energy (0 for the lowest one) = 17 meV/atom
1.0
6.0308 -1.8348 0.0000
6.0308 1.8348 0.0000
-1.0030 0.0000 5.2817
In Br
3 1
direct
0.0000 0.0000 0.0000 In
0.2699 0.2699 0.7511 In
0.7301 0.7301 0.2489 In
0.5000 0.5000 0.5000 Br

***

13.
# InBr

A relaxed structure of InBr (PBE-GGA, Alexandria via LeMat-Bulk).

```
InBr
1.0
8.2922 0.0000 0.0000
0.0000 4.5502 0.0000
0.0000 0.0000 7.8493
In Br
4 4
direct
0.2501 0.2500 0.0838 In
0.2499 0.7500 0.5838 In
0.7501 0.2500 0.4162 In
0.7499 0.7500 0.9162 In
0.0002 0.2500 0.7495 Br
0.9998 0.7500 0.2505 Br
0.5002 0.2500 0.7505 Br
0.4998 0.7500 0.2495 Br
```

***

14.
# InBr3

A relaxed structure of InBr3 (PBE-GGA, Alexandria via LeMat-Bulk).

```
InBr3
1.0
5.9074 -7.2303 0.0000
5.9074 7.2303 0.0000
0.0000 0.0000 3.6276
In Br
2 6
direct
0.2102 0.7898 0.7500 In
0.7898 0.2102 0.2500 In
0.0135 0.2896 0.7500 Br
0.2896 0.0135 0.2500 Br
0.3536 0.6464 0.2500 Br
0.6464 0.3536 0.7500 Br
0.7104 0.9865 0.7500 Br
0.9865 0.7104 0.2500 Br
```

***

15.
# InBr2

A relaxed structure of InBr2 (PBE-GGA, Alexandria via LeMat-Bulk).

```
InBr2
1.0
8.9326 0.0000 0.0000
-4.4663 7.7358 0.0000
0.0000 0.0000 3.8150
In Br
3 6
direct
0.0000 0.0000 0.0000 In
0.3333 0.6667 0.5000 In
0.6667 0.3333 0.5000 In
0.0000 0.2258 0.5000 Br
0.0000 0.5561 0.0000 Br
0.2258 0.0000 0.5000 Br
0.4439 0.4439 0.0000 Br
0.5561 0.0000 0.0000 Br
0.7742 0.7742 0.5000 Br
```

***

16.
# InBr3

A relaxed structure of InBr3 (PBE-GGA, Alexandria via LeMat-Bulk).

```
InBr3
1.0
7.3602 0.0000 0.0000
0.0000 11.3584 0.0000
0.0000 0.0000 8.4217
In Br
4 12
direct
0.2301 0.2500 0.1546 In
0.2699 0.7500 0.6546 In
0.7301 0.2500 0.3454 In
0.7699 0.7500 0.8454 In
0.0282 0.5900 0.7688 Br
0.0282 0.9100 0.7688 Br
0.2353 0.7500 0.3606 Br
0.2647 0.2500 0.8606 Br
0.4718 0.0900 0.2688 Br
0.4718 0.4100 0.2688 Br
0.5282 0.5900 0.7312 Br
0.5282 0.9100 0.7312 Br
0.7353 0.7500 0.1394 Br
0.7647 0.2500 0.6394 Br
0.9718 0.0900 0.2312 Br
0.9718 0.4100 0.2312 Br
```

***

17.
InBr5 | Alexandria via LeMat-Bulk | PBE-GGA | optimized geometry; polymorph energy (0 for the lowest one) = 0 meV/atom
1.0
7.4066 -1.8505 0.0000
7.4066 1.8505 0.0000
-5.3400 0.0000 7.6193
In Br
1 5
direct
0.0000 0.0000 0.0000 In
0.0576 0.0576 0.6668 Br
0.4005 0.4005 0.7090 Br
0.4251 0.4251 0.1250 Br
0.6668 0.6668 0.1299 Br
0.7118 0.7118 0.6685 Br

***

18.
In3Br4 | Alexandria via LeMat-Bulk | PBE-GGA | optimized geometry; polymorph energy (0 for the lowest one) = 0 meV/atom
1.0
4.6300 2.6731 7.5820
-4.6300 2.6731 7.5820
0.0000 -5.3463 7.5820
In Br
6 8
direct
0.0000 0.0000 0.0000 In
0.0000 0.0000 0.5000 In
0.0000 0.5000 0.0000 In
0.3749 0.3749 0.3749 In
0.5000 0.0000 0.0000 In
0.6251 0.6251 0.6251 In
0.2520 0.2520 0.2520 Br
0.2519 0.2519 0.7444 Br
0.2519 0.7444 0.2519 Br
0.2556 0.7481 0.7481 Br
0.7444 0.2519 0.2519 Br
0.7481 0.2556 0.7481 Br
0.7481 0.7481 0.2556 Br
0.7480 0.7480 0.7480 Br

***

19.
# InBr

A relaxed structure of InBr (PBE-GGA, Alexandria via LeMat-Bulk).

```
InBr
1.0
4.4870 0.0000 0.0000
-2.2435 3.8859 0.0000
0.0000 0.0000 4.2205
In Br
1 1
direct
0.0000 0.0000 0.0000 In
0.3333 0.6667 0.5000 Br
```

***

20.
InBr5 | Alexandria via LeMat-Bulk | PBE-GGA | optimized geometry; polymorph energy (0 for the lowest one) = 79 meV/atom
1.0
7.2381 0.0000 0.0000
0.0000 1.9595 6.7132
0.0000 -1.9595 6.7132
In Br
1 5
direct
0.0000 0.0000 0.0000 In
0.0000 0.3562 0.3562 Br
0.0000 0.6435 0.6435 Br
0.5000 0.1638 0.1638 Br
0.5000 0.4955 0.4955 Br
0.5000 0.8275 0.8275 Br

***

Across the entries above, E_form (uncorrected) takes the values -1.86; -1.24; -0.89; -0.61; 1.94; -1.26; -2.07; -2.88; -1.29; -1.22; -0.86; -0.74; -1.24; -2.79; -1.67; -3.07; -1.39; -4.46; -1.24; -0.92 eV per formula unit, respectively.